Here is TmGa9Co2 after structural relaxation from Alexandria. Energies are from PBE.

Calculated values
- Energy of formation: -172.7 meV/atom
- M_tot: 0.0 μB per formula unit
- Density of states at the Fermi level: 6.4 states/eV/f.u.
- E: -0.1470 hartree per atom

Cell: 6.5499 8.3806 8.3806 Å, 81.22 67.00 67.00°
Closest atoms and distances in Å follow each position.
Fractional positions:
Ga1 0.9909 0.9309 0.6920  2 Co 2.55-2.57, 6 Ga 2.61-2.80
Ga2 0.1362 0.4309 0.1920  2 Co 2.55-2.57, 6 Ga 2.61-2.80
Ga3 0.6138 0.0691 0.3080  2 Co 2.55-2.57, 6 Ga 2.61-2.80
Ga4 0.0000 0.0000 0.0000  8 Ga 2.76, 4 Co 2.85
Ga5 0.7591 0.5691 0.8080  2 Co 2.55-2.57, 6 Ga 2.61-2.80
Ga6 0.4329 0.8080 0.4309  2 Co 2.55-2.57, 6 Ga 2.61-2.80
Ga7 0.9909 0.6920 0.9309  2 Co 2.55-2.57, 6 Ga 2.61-2.80
Ga8 0.0782 0.3080 0.9309  2 Co 2.55-2.57, 6 Ga 2.61-2.80
Ga9 0.7500 0.5000 0.5000  8 Ga 2.76, 4 Co 2.85
Ga10 0.3171 0.0691 0.6920  2 Co 2.55-2.57, 6 Ga 2.61-2.80
Ga11 0.1362 0.1920 0.4309  2 Co 2.55-2.57, 6 Ga 2.61-2.80
Ga12 0.6138 0.3080 0.0691  2 Co 2.55-2.57, 6 Ga 2.61-2.80
Ga13 0.7591 0.8080 0.5691  2 Co 2.55-2.57, 6 Ga 2.61-2.80
Ga14 0.4329 0.4309 0.8080  2 Co 2.55-2.57, 6 Ga 2.61-2.80
Ga15 0.3171 0.6920 0.0691  2 Co 2.55-2.57, 6 Ga 2.61-2.80
Ga16 0.0782 0.9309 0.3080  2 Co 2.55-2.57, 6 Ga 2.61-2.80
Ga17 0.6718 0.1920 0.5691  2 Co 2.55-2.57, 6 Ga 2.61-2.80
Ga18 0.6718 0.5691 0.1920  2 Co 2.55-2.57, 6 Ga 2.61-2.80
Tm1 0.5000 0.0000 0.0000  10 Ga 3.14-3.27
Tm2 0.2500 0.5000 0.5000  10 Ga 3.14-3.27
Co1 0.8750 0.2500 0.7500  10 Ga 2.55-2.85
Co2 0.8750 0.7500 0.2500  10 Ga 2.55-2.85
Co3 0.3750 0.7500 0.7500  10 Ga 2.55-2.85
Co4 0.8750 0.2500 0.2500  10 Ga 2.55-2.85